Tb7Dy3Y | PBE-GGA | optimized geometry

It has space group C2/m (No. 12), with a = 12.6117 Å, b = 11.1513 Å, c = 5.8048 Å, α = 90.00°, β = 117.33° and γ = 90.00°. The asymmetric unit holds Tb at (0.0000, 0.0000, 0.0000), Tb at (0.2005, 0.2990, 0.7002), Tb at (0.2069, 0.5000, 0.2056), Dy at (0.0000, 0.2931, 0.0000), Dy at (0.0000, 0.5000, 0.5000) and Y at (0.0000, 0.0000, 0.5000).

For the energy of formation, the calculation gives 0.260 eV per atom. For the polymorph energy (0 for the lowest one), the calculation gives 0.1230 eV/atom. The calculated density is 7.7 g/cm3. Its uncorrected energy is -4.53 eV per atom.